HfMg2SiTe | GGA-PBE | relaxed

Cell lengths 5.633, 5.633, 5.320 Å; angles 90.00, 90.00, 90.00 degrees
Element x y z (fractional)
1 Hf 0.000 0.000 0.000
2 Mg 0.000 0.500 0.000
3 Mg 0.500 0.000 0.000
4 Si 0.500 0.500 0.500
5 Te 0.000 0.000 0.500

Computed properties:
Its density of states at the Fermi level is 0.54 states/eV/atom. The calculation puts the total energy at -3.349 eV/atom. As for the spin magnetization: 0.00 μB per formula unit.


Sm2HfMg | GGA-PBE | relaxed

Cell lengths 12.387, 12.387, 12.387 Å; angles 15.01, 15.01, 15.01 degrees
Element x y z (fractional)
1 Sm 0.086 0.086 0.086
2 Sm 0.914 0.914 0.914
3 Hf 0.000 0.000 0.000
4 Mg 0.500 0.500 0.500

Computed properties:
Its density of states at the Fermi level is 1.19 states/eV/atom. For the formation energy, the calculation gives 0.38 eV/atom. The calculation puts the total energy at -4.871 eV/atom. As for the spin magnetization: 0.00 μB per formula unit.


Sm2HfMg | GGA-PBE | relaxed

Cell lengths 5.614, 5.614, 3.502 Å; angles 90.00, 90.00, 90.00 degrees
Element x y z (fractional)
1 Sm 0.000 0.500 0.000
2 Sm 0.500 0.000 0.000
3 Hf 0.000 0.000 0.500
4 Mg 0.500 0.500 0.500

Computed properties:
Its density of states at the Fermi level is 1.40 states/eV/atom. For the formation energy, the calculation gives 0.14 eV/atom. The calculation puts the total energy at -5.102 eV/atom. As for the spin magnetization: 0.00 μB per formula unit.